No. 1
First-principles (PBE) data for HfAl2Zn after structural relaxation, as listed in the Open Quantum Materials Database.

abc: 6.5252 6.5252 6.5252
angles: 90.00 90.00 90.00
Space group F-43m (No. 216)
One atom of each set of equivalent atoms:
Hf  0.0000  0.0000  0.0000 x4
Al  0.0000  0.0000  0.5000 x4
Al  0.2500  0.2500  0.2500 x4
Zn  0.2500  0.2500  0.7500 x4

## Properties
Spin magnetization in μB/cell: 0.00
E_tot in eV/atom: -4.64

---

No. 2
First-principles (PBE) data for CoHgAsOs after structural relaxation, as listed in the Open Quantum Materials Database.

abc: 6.2559 6.2559 6.2559
angles: 90.00 90.00 90.00
Space group F-43m (No. 216)
One atom of each set of equivalent atoms:
Co  0.0000  0.0000  0.0000 x4
Hg  0.2500  0.2500  0.2500 x4
As  0.2500  0.2500  0.7500 x4
Os  0.0000  0.0000  0.5000 x4

## Properties
Spin magnetization in μB/cell: 1.97
Energy above the lowest structure with this stoichiometry in eV per formula unit: 0.000

---

Look up the spin magnetization of the second one. 1.97 μB/cell

---

What did the second record say?
First-principles (PBE) data for CoHgAsOs after structural relaxation, as listed in the Open Quantum Materials Database.

abc: 6.2559 6.2559 6.2559
angles: 90.00 90.00 90.00
Space group F-43m (No. 216)
One atom of each set of equivalent atoms:
Co  0.0000  0.0000  0.0000 x4
Hg  0.2500  0.2500  0.2500 x4
As  0.2500  0.2500  0.7500 x4
Os  0.0000  0.0000  0.5000 x4

## Properties
Spin magnetization in μB/cell: 1.97
Energy above the lowest structure with this stoichiometry in eV per formula unit: 0.000

---

Number 2 is which compound? CoHgAsOs

---

Among the records above, which one has the lowest spin magnetization? HfAl2Zn